(1)
A geometry-optimized ZrTi2Cd structure. Source: the Alexandria database, functional PBE.

Calculated values
The crystal system is tetragonal. The raw total energy is -25.1 eV for the cell shown.

```
ZrTi2Cd
1.0
3.072 0.000 0.000
0.000 3.072 0.000
0.000 0.000 8.353
Zr Ti Cd
1 2 1
direct
0.000 0.000 0.000
0.500 0.500 0.252
0.500 0.500 0.748
0.000 0.000 0.500
```


(2)
A geometry-optimized ScTaGa2 structure. Source: the Alexandria database, functional PBE.

Calculated values
The distance to the lowest polymorph of the same formula is 0.565 eV/atom. The crystal system is tetragonal.

```
ScTaGa2
1.0
-2.073 2.073 9.548
2.073 -2.073 9.548
2.073 2.073 -9.548
Sc Ta Ga
2 2 4
direct
0.000 0.000 0.000
0.750 0.250 0.500
0.250 0.750 0.500
0.500 0.500 0.000
0.174 0.625 0.049
0.375 0.424 0.549
0.576 0.125 0.951
0.875 0.826 0.451
```


(3)
A geometry-optimized RbSr2Te structure. Source: the Alexandria database, functional PBE.

Calculated values
The crystal system is tetragonal. As for the formation energy without anion corrections: -0.5475 eV per atom.

```
RbSr2Te
1.0
-5.451 5.451 3.844
5.451 -5.451 3.844
5.451 5.451 -3.844
Rb Sr Te
2 4 2
direct
0.000 0.000 0.000
0.750 0.250 0.500
0.224 0.125 0.599
0.375 0.776 0.901
0.526 0.625 0.401
0.875 0.474 0.099
0.250 0.750 0.500
0.500 0.500 0.000
```


(4)
A geometry-optimized Ba2SbH structure. Source: the Alexandria database, functional PBE.

Calculated values
The distance to the lowest polymorph of the same formula is 0.181 eV/atom. The crystal system is trigonal.

```
Ba2SbH
1.0
2.508 1.448 6.498
-2.508 1.448 6.498
0.000 -2.896 6.498
Ba Sb H
2 1 1
direct
0.240 0.240 0.240
0.760 0.760 0.760
0.000 0.000 0.000
0.500 0.500 0.500
```


(5)
A geometry-optimized Ba2HfTeAu structure. Source: the Alexandria database, functional PBE.

Calculated values
The crystal system is tetragonal. As for the formation energy without anion corrections: 0.1202 eV per atom.

```
Ba2HfTeAu
1.0
6.572 0.000 0.000
0.000 6.572 0.000
0.000 0.000 5.310
Ba Hf Te Au
2 1 1 1
direct
0.000 0.500 0.000
0.500 0.000 0.000
0.000 0.000 0.500
0.000 0.000 0.000
0.500 0.500 0.500
```


(6)
A geometry-optimized Na3Ge3Pt2 structure. Source: the Alexandria database, functional PBE.

Calculated values
The crystal system is orthorhombic. The raw total energy is -130.9 eV for the cell shown.

```
Na3Ge3Pt2
1.0
7.925 0.000 0.000
0.000 14.670 0.000
0.000 0.000 5.853
Na Ge Pt
12 12 8
direct
0.032 0.114 0.106
0.032 0.386 0.106
0.197 0.250 0.604
0.303 0.750 0.104
0.468 0.614 0.606
0.468 0.886 0.606
0.532 0.114 0.394
0.532 0.386 0.394
0.697 0.250 0.896
0.803 0.750 0.396
0.968 0.614 0.894
0.968 0.886 0.894
0.156 0.750 0.589
0.178 0.043 0.616
0.178 0.457 0.616
0.322 0.543 0.116
0.322 0.957 0.116
0.344 0.250 0.089
0.656 0.750 0.911
0.678 0.043 0.884
0.678 0.457 0.884
0.822 0.543 0.384
0.822 0.957 0.384
0.844 0.250 0.411
0.116 0.601 0.396
0.116 0.899 0.396
0.384 0.101 0.896
0.384 0.399 0.896
0.616 0.601 0.104
0.616 0.899 0.104
0.884 0.101 0.604
0.884 0.399 0.604
```


(7)
A geometry-optimized CrHgMo2 structure. Source: the Alexandria database, functional PBE.

Calculated values
The crystal system is tetragonal. The raw total energy is -29.4 eV for the cell shown.

```
CrHgMo2
1.0
-2.043 2.043 3.870
2.043 -2.043 3.870
2.043 2.043 -3.870
Cr Hg Mo
1 1 2
direct
0.000 0.000 0.000
0.250 0.750 0.500
0.500 0.500 0.000
0.750 0.250 0.500
```


(8)
A geometry-optimized ZrAl2Cl structure. Source: the Alexandria database, functional PBE.

Calculated values
The distance to the lowest polymorph of the same formula is 0.164 eV/atom. The crystal system is orthorhombic. As for the formation energy without anion corrections: -0.2725 eV per atom.

```
ZrAl2Cl
1.0
-1.512 2.693 5.026
1.512 -2.693 5.026
1.512 2.693 -5.026
Zr Al Cl
1 2 1
direct
0.000 0.000 0.000
0.256 0.756 0.500
0.502 0.502 0.000
0.791 0.291 0.500
```


Number 1: theoretical density 6.305 Mg/m³, magnetic moment 0.00 Bohr magnetons per cell. Number 2: theoretical density 7.396 Mg/m³, magnetic moment 0.00 Bohr magnetons per cell. Number 3: theoretical density 2.823 Mg/m³, magnetic moment 0.00 Bohr magnetons per cell. Number 4: theoretical density 4.660 Mg/m³, magnetic moment 0.00 Bohr magnetons per cell. Number 5: theoretical density 5.632 Mg/m³, magnetic moment 2.25 Bohr magnetons per cell. Number 6: theoretical density 6.608 Mg/m³, magnetic moment 0.00 Bohr magnetons per cell. Number 7: theoretical density 11.422 Mg/m³, magnetic moment 1.74 Bohr magnetons per cell. Number 8: theoretical density 3.666 Mg/m³, magnetic moment 0.00 Bohr magnetons per cell.